# Tb5Dy4Er3

A geometry-optimized Tb5Dy4Er3 structure (PBE, Alexandria).

```
Tb5Dy4Er3
1.0
6.8205 -0.4371 1.7979
-5.1249 7.4645 -6.5379
4.0498 -3.9313 11.4150
Tb Dy Er
5 4 3
Cartesian
2.2331 1.5556 5.7490 Tb
5.4352 -2.1842 6.6064 Tb
6.6040 -0.5290 9.4915 Tb
-0.8586 3.6250 -2.8166 Tb
3.5123 1.5405 0.9260 Tb
4.6799 3.1967 3.8080 Dy
5.6426 1.3405 6.6521 Dy
0.1029 1.7555 0.0228 Dy
1.0655 -0.1006 2.8670 Dy
4.4748 -0.3198 3.7632 Er
2.0249 -1.9657 5.7075 Er
1.2706 3.4158 2.9118 Er
```

Its calculated volume is 31.14 Å³ per atom. As for the density of states at the Fermi level: 15.16 states/eV/cell. As for the uncorrected energy: -4.587 eV per atom. The calculation puts the size of the total moment at 0.00 μB per formula unit. As for the density: 8.6 Mg/m³.